A plane-wave DFT calculation with PBE was carried out for a relaxed structure of Th4SnHg3.

electronic total energy = -4.6007 eV per atom

Unit cell a=11.091 b=7.083 c=5.700 alpha=90.00 beta=90.00 gamma=90.00
Space group Pmma (No. 51)
Unique sites:
Th 0.000 0.249 0.000 x4
Th 0.250 0.249 0.403 x4
Sn 0.000 0.500 0.500 x2
Hg 0.000 0.000 0.500 x2
Hg 0.250 0.000 0.893 x2
Hg 0.250 0.500 0.899 x2